Entry 1:
DFT (meta-GGA SCAN) results for a PBEsol-optimized structure of MgNi3B.

Summary:
formation enthalpy at 0 K = -121.2 kJ/mol of formula units

Unit cell a=3.8104 b=3.8104 c=3.8104 alpha=90.00 beta=90.00 gamma=90.00
Space group Pm-3m (No. 221)
Asymmetric unit:
Mg 0.0000 0.0000 0.0000
Ni 0.0000 0.5000 0.5000
B 0.5000 0.5000 0.5000


Entry 2:
DFT (meta-GGA SCAN) results for a PBEsol-optimized structure of MgNiB2O.

Summary:
formation energy without anion corrections = 4.6 eV per formula unit

Unit cell a=3.7806 b=3.7806 c=3.6927 alpha=90.00 beta=90.00 gamma=90.00
Space group P4/mmm (No. 123)
Asymmetric unit:
Mg 0.0000 0.0000 0.0000
Ni 0.5000 0.5000 0.0000
B 0.0000 0.5000 0.5000
O 0.5000 0.5000 0.5000


Entry 3:
DFT (meta-GGA SCAN) results for a PBEsol-optimized structure of MgNiB2P.

Summary:
formation enthalpy at 0 K = 1029.5 kJ/mol of formula units

Unit cell a=4.1189 b=4.1189 c=4.6764 alpha=90.00 beta=90.00 gamma=90.00
Space group P4/mmm (No. 123)
Asymmetric unit:
Mg 0.0000 0.0000 0.0000
Ni 0.5000 0.5000 0.5000
B 0.0000 0.5000 0.0000
P 0.0000 0.0000 0.5000


Entry 4:
DFT (meta-GGA SCAN) results for a PBEsol-optimized structure of Mg2BO4.

Summary:
formation energy without anion corrections = -18.3 eV per formula unit

Unit cell a=9.6351 b=3.0836 c=9.2936 alpha=90.00 beta=90.00 gamma=90.00
Space group Pnma (No. 62)
Asymmetric unit:
Mg 0.1043 0.2500 0.1973
Mg 0.1419 0.2500 0.5662
B 0.1683 0.2500 0.8693
O 0.0015 0.2500 0.3998
O 0.0273 0.2500 0.8447
O 0.2203 0.2500 0.0073
O 0.2433 0.7500 0.2521


Entry 5:
DFT (meta-GGA SCAN) results for a PBEsol-optimized structure of PrMgB5O10.

Summary:
formation energy without anion corrections = -50.1 eV per formula unit

Unit cell a=8.7185 b=7.6152 c=12.5495 alpha=90.00 beta=131.26 gamma=90.00
Space group P2_1/c (No. 14)
Asymmetric unit:
Pr 0.0514 0.1887 0.2345
Mg 0.4840 0.5883 0.8771
B 0.0949 0.6711 0.6102
B 0.1570 0.5952 0.0058
B 0.2706 0.0321 0.0516
B 0.3528 0.5821 0.2673
B 0.4845 0.1872 0.9149
O 0.0283 0.7229 0.9891
O 0.0841 0.1035 0.9130
O 0.1207 0.5386 0.8891
O 0.2118 0.7203 0.2407
O 0.2329 0.5234 0.6462
O 0.3193 0.6288 0.5091
O 0.3215 0.0814 0.8129
O 0.3213 0.5364 0.1388
O 0.4325 0.1501 0.4291
O 0.4413 0.1537 0.1253


Entry 6:
DFT (meta-GGA SCAN) results for a PBEsol-optimized structure of MgScBO4.

Summary:
formation energy without anion corrections = -22.7 eV per formula unit

Unit cell a=3.2135 b=9.4405 c=9.4446 alpha=90.00 beta=90.00 gamma=90.00
Space group Pmc2_1 (No. 26)
Asymmetric unit:
Mg 0.0000 0.0603 0.0000
Mg 0.0000 0.3171 0.5213
Sc 0.5000 0.1655 0.2938
Sc 0.5000 0.4448 0.8020
B 0.0000 0.3708 0.0742
B 0.5000 0.1248 0.7263
O 0.0000 0.1332 0.4132
O 0.0000 0.2404 0.1368
O 0.0000 0.3811 0.9275
O 0.0000 0.4976 0.1515
O 0.5000 0.0029 0.6421
O 0.5000 0.1075 0.8702
O 0.5000 0.2590 0.6644
O 0.5000 0.3676 0.3875